[1]
First-principles (GGA-PBE) data for an optimized crystal structure of CsSrCu2Cl8, as listed in Alexandria via LeMat-Bulk.

Values from the calculation:
Formation energy (no corrections)   -1.119 eV/atom
Theoretical density   2.81 g cm⁻³
Total magnetization   9.2 Bohr magnetons per cell

Lattice parameters (Å, degrees): 6.6126 6.6126 29.5521 90.00 90.00 120.00
Space group R32 (No. 155, hexagonal axes)
Symmetry-distinct sites (fractional):
Cs  0.0000  0.0000  0.0000
Sr  0.0000  0.0000  0.5000
Cu  0.0000  0.0000  0.2514
Cl  0.0000  0.0000  0.3257
Cl  0.0027  0.3474  0.4373

---

[2]
First-principles (GGA-PBE) data for an optimized crystal structure of Li8As2Pb, as listed in Alexandria via LeMat-Bulk.

Values from the calculation:
Theoretical density   3.65 g cm⁻³
Total magnetization   0.0 Bohr magnetons per cell
Formation enthalpy at 0 K   -0.53 eV/atom

Lattice parameters (Å, degrees): 4.355 7.318 11.783 90.00 90.00 90.00
Space group Immm (No. 71)
Symmetry-distinct sites (fractional):
Li  0.000  0.000  0.158
Li  0.000  0.204  0.336
Li  0.000  0.308  0.000
As  0.000  0.500  0.200
Pb  0.000  0.500  0.500

---

[3]
First-principles (GGA-PBE) data for an optimized crystal structure of Ca2In2Bi, as listed in Alexandria via LeMat-Bulk.

Values from the calculation:
Theoretical density   5.60 g cm⁻³
Energy above the most stable polymorph in this dataset   0 kJ/mol of formula units
Total magnetization   0.0 Bohr magnetons per cell
Formation enthalpy at 0 K   -0.42 eV/atom

Lattice parameters (Å, degrees): 8.033 8.033 4.765 90.00 90.00 90.00
Space group P4/mbm (No. 127)
Symmetry-distinct sites (fractional):
Ca  0.171  0.329  0.000
In  0.128  0.628  0.500
Bi  0.000  0.000  0.500

---

[4]
First-principles (GGA-PBE) data for an optimized crystal structure of Sr4SnN4, as listed in Alexandria via LeMat-Bulk.

Values from the calculation:
Formation energy (no corrections)   -0.533 eV/atom
Theoretical density   4.89 g cm⁻³
Total magnetization   0.0 Bohr magnetons per cell

Lattice parameters (Å, degrees): 6.474 6.530 9.637 71.36 79.39 67.89
Space group P-1 (No. 2)
Symmetry-distinct sites (fractional):
Sr  0.229  0.488  0.070
Sr  0.242  0.231  0.481
Sr  0.268  0.043  0.894
Sr  0.270  0.578  0.676
Sn  0.215  0.848  0.257
N  0.007  0.179  0.133
N  0.013  0.630  0.306
N  0.392  0.833  0.426
N  0.480  0.700  0.109

---

[5]
First-principles (GGA-PBE) data for an optimized crystal structure of AcYGaHg, as listed in Alexandria via LeMat-Bulk.

Values from the calculation:
Theoretical density   8.52 g cm⁻³
Total magnetization   0.0 Bohr magnetons per cell
Formation enthalpy at 0 K   -0.45 eV/atom

Lattice parameters (Å, degrees): 7.702 7.702 7.702 90.00 90.00 90.00
Space group F-43m (No. 216)
Symmetry-distinct sites (fractional):
Ac  0.000  0.000  0.000
Y  0.000  0.000  0.500
Ga  0.250  0.250  0.250
Hg  0.250  0.250  0.750

---

[6]
First-principles (GGA-PBE) data for an optimized crystal structure of Cs2BiPbF6, as listed in Alexandria via LeMat-Bulk.

Values from the calculation:
Formation energy (no corrections)   -2.363 eV/atom
Theoretical density   5.48 g cm⁻³
Total magnetization   1.0 Bohr magnetons per cell

Lattice parameters (Å, degrees): 6.466 6.615 7.142 117.52 113.14 91.34
Space group P-1 (No. 2)
Symmetry-distinct sites (fractional):
Cs  0.242  0.239  0.481
Bi  0.000  0.500  0.000
Pb  0.500  0.000  0.000
F  0.190  0.214  0.014
F  0.267  0.736  0.581
F  0.335  0.754  0.117